Entry 1:
Density functional theory data (PBE-GGA) for a relaxed structure of MgTcSe2.

Cell lengths 3.380, 3.380, 6.877 Å; angles 90.00, 90.00, 90.00 degrees
Fractional positions:
Mg: 0.000 0.000 0.000
Tc: 0.500 0.500 0.745
Se: 0.000 0.000 0.586
Se: 0.500 0.500 0.138

Values from the calculation:
* symmetry: P4mm

***

Entry 2:
Density functional theory data (PBE-GGA) for a relaxed structure of MgTcSe2.

Cell lengths 4.667, 4.667, 4.667 Å; angles 60.00, 60.00, 60.00 degrees
Fractional positions:
Mg: 0.000 0.000 0.000
Tc: 0.250 0.250 0.250
Se: 0.500 0.500 0.500
Se: 0.750 0.750 0.750

Values from the calculation:
* symmetry: F-43m

***

Entry 3:
Density functional theory data (PBE-GGA) for a relaxed structure of MgTcSe2.

Cell lengths 4.633, 4.633, 3.198 Å; angles 90.12, 90.12, 90.04 degrees
Fractional positions:
Mg: 0.000 0.000 0.000
Tc: 0.500 0.500 0.000
Se: 0.000 0.500 0.500
Se: 0.500 0.000 0.500

Values from the calculation:
* symmetry: C2/m

***

Number 1: raw formation energy -0.316 eV per atom, E -5.048 eV/atom. Number 2: raw formation energy 0.534 eV per atom, E -4.199 eV/atom. Number 3: raw formation energy -0.084 eV per atom, E -4.817 eV/atom.